This record from Alexandria via LeMat-Bulk describes crystalline Ho5Ga3 at its relaxed geometry. The functional is GGA-PBEsol.

Cell: 8.4137 8.4137 6.3845 Å, 90.00 90.00 120.00°
Space group P6_3/mcm (No. 193)
Symmetry-distinct sites (fractional):
Ho 0.0000 0.2428 0.2500 [6 per cell]
Ho 0.3333 0.6667 0.0000 [4 per cell]
Ga 0.0000 0.4016 0.7500 [6 per cell]

## Properties
As for the formation energy: -3.904 eV/f.u. As for the relative energy among the computed polymorphs: 0.029 eV/atom. The value obtained for the magnetic moment is 0.0 μB per formula unit. The value obtained for the total energy is -4.834 eV/atom.

***

This record from Alexandria via LeMat-Bulk describes crystalline HoGa3 at its relaxed geometry. The functional is GGA-PBEsol.

Cell: 6.0172 6.0172 13.9309 Å, 90.00 90.00 120.00°
Space group P6_3/mmc (No. 194)
Symmetry-distinct sites (fractional):
Ho 0.0000 0.0000 0.2500 [2 per cell]
Ho 0.3333 0.6667 0.0919 [4 per cell]
Ga 0.0416 0.5208 0.7500 [6 per cell]
Ga 0.1680 0.3360 0.5817 [12 per cell]

## Properties
As for the formation energy: -2.324 eV/f.u. The value obtained for the magnetic moment is 0.0 μB per formula unit. The value obtained for the total energy is -4.323 eV/atom.

***

This record from Alexandria via LeMat-Bulk describes crystalline Ho3Ga5 at its relaxed geometry. The functional is GGA-PBEsol.

Cell: 11.249 9.497 5.974 Å, 90.00 90.00 90.00°
Space group Pnma (No. 62)
Symmetry-distinct sites (fractional):
Ho 0.074 0.250 0.154 [4 per cell]
Ho 0.148 0.509 0.610 [8 per cell]
Ga 0.006 0.250 0.631 [4 per cell]
Ga 0.090 0.553 0.125 [8 per cell]
Ga 0.200 0.750 0.898 [4 per cell]
Ga 0.248 0.750 0.328 [4 per cell]

## Properties
As for the formation energy: -5.614 eV/f.u. The value obtained for the magnetic moment is 0.0 μB per formula unit. The value obtained for the total energy is -4.645 eV/atom.

***

This record from Alexandria via LeMat-Bulk describes crystalline HoGa2 at its relaxed geometry. The functional is GGA-PBEsol.

Cell: 4.1455 4.1455 3.9847 Å, 90.00 90.00 120.00°
Space group P6/mmm (No. 191)
Symmetry-distinct sites (fractional):
Ho 0.0000 0.0000 0.0000 [1 per cell]
Ga 0.3333 0.6667 0.5000 [2 per cell]

## Properties
As for the formation energy: -2.058 eV/f.u. The value obtained for the magnetic moment is 0.0 μB per formula unit. The value obtained for the total energy is -4.562 eV/atom.

***

This record from Alexandria via LeMat-Bulk describes crystalline HoGa3 at its relaxed geometry. The functional is GGA-PBEsol.

Cell: 4.181 4.181 4.181 Å, 90.00 90.00 90.00°
Space group Pm-3m (No. 221)
Symmetry-distinct sites (fractional):
Ho 0.000 0.000 0.000 [1 per cell]
Ga 0.000 0.500 0.500 [3 per cell]

## Properties
As for the formation energy: -2.307 eV/f.u. The value obtained for the magnetic moment is 0.0 μB per formula unit. The value obtained for the total energy is -4.319 eV/atom.

***

This record from Alexandria via LeMat-Bulk describes crystalline Ho3Ga at its relaxed geometry. The functional is GGA-PBEsol.

Cell: 4.601 4.601 4.601 Å, 90.00 90.00 90.00°
Space group Pm-3m (No. 221)
Symmetry-distinct sites (fractional):
Ho 0.000 0.000 0.500 [3 per cell]
Ga 0.500 0.500 0.500 [1 per cell]

## Properties
As for the formation energy: -1.104 eV/f.u. The value obtained for the magnetic moment is 0.0 μB per formula unit. The value obtained for the total energy is -4.824 eV/atom.

***

This record from Alexandria via LeMat-Bulk describes crystalline Ho5Ga3 at its relaxed geometry. The functional is GGA-PBEsol.

Cell: 7.457 7.457 13.876 Å, 90.00 90.00 90.00°
Space group P4/ncc (No. 130, origin choice 2)
Symmetry-distinct sites (fractional):
Ho 0.068 0.594 0.102 [16 per cell]
Ho 0.250 0.250 0.228 [4 per cell]
Ga 0.127 0.627 0.750 [8 per cell]
Ga 0.250 0.250 0.007 [4 per cell]

## Properties
As for the formation energy: -4.135 eV/f.u. As for the relative energy among the computed polymorphs: 0.000 eV/atom. The value obtained for the magnetic moment is 0.0 μB per formula unit. The value obtained for the total energy is -4.863 eV/atom.

***

This record from Alexandria via LeMat-Bulk describes crystalline Ho3Ga8Ir3 at its relaxed geometry. The functional is GGA-PBEsol.

Cell: 4.133 9.655 12.189 Å, 90.00 90.00 90.00°
Space group Immm (No. 71)
Symmetry-distinct sites (fractional):
Ho 0.000 0.000 0.000 [2 per cell]
Ho 0.000 0.000 0.330 [4 per cell]
Ga 0.000 0.284 0.124 [8 per cell]
Ga 0.000 0.371 0.330 [8 per cell]
Ir 0.000 0.220 0.500 [4 per cell]
Ir 0.000 0.500 0.000 [2 per cell]

## Properties
As for the formation energy: -9.764 eV/f.u. The value obtained for the magnetic moment is 0.0 μB per formula unit. The value obtained for the total energy is -5.772 eV/atom.

***

This record from Alexandria via LeMat-Bulk describes crystalline LiHo2Ga at its relaxed geometry. The functional is GGA-PBEsol.

Cell: 7.060 7.060 7.060 Å, 90.00 90.00 90.00°
Space group Fm-3m (No. 225)
Symmetry-distinct sites (fractional):
Li 0.000 0.000 0.000 [4 per cell]
Ho 0.250 0.250 0.250 [8 per cell]
Ga 0.000 0.000 0.500 [4 per cell]

## Properties
As for the formation energy: -1.279 eV/f.u. The value obtained for the magnetic moment is 0.0 μB per formula unit. The value obtained for the total energy is -4.121 eV/atom.

***

This record from Alexandria via LeMat-Bulk describes crystalline Ho2MgGa at its relaxed geometry. The functional is GGA-PBEsol.

Cell: 7.158 7.158 7.158 Å, 90.00 90.00 90.00°
Space group Fm-3m (No. 225)
Symmetry-distinct sites (fractional):
Ho 0.250 0.250 0.250 [8 per cell]
Mg 0.000 0.000 0.000 [4 per cell]
Ga 0.000 0.000 0.500 [4 per cell]

## Properties
As for the formation energy: -1.395 eV/f.u. The value obtained for the magnetic moment is 0.0 μB per formula unit. The value obtained for the total energy is -4.088 eV/atom.

***

This record from Alexandria via LeMat-Bulk describes crystalline HoMgGa at its relaxed geometry. The functional is GGA-PBEsol.

Cell: 7.1581 7.1581 4.3688 Å, 90.00 90.00 120.00°
Space group P-62m (No. 189)
Symmetry-distinct sites (fractional):
Ho 0.0000 0.5730 0.0000 [3 per cell]
Mg 0.0000 0.2440 0.5000 [3 per cell]
Ga 0.0000 0.0000 0.0000 [1 per cell]
Ga 0.3333 0.6667 0.5000 [2 per cell]

## Properties
As for the formation energy: -1.523 eV/f.u. The value obtained for the magnetic moment is 0.0 μB per formula unit. The value obtained for the total energy is -3.843 eV/atom.

***

This record from Alexandria via LeMat-Bulk describes crystalline HoGaNi at its relaxed geometry. The functional is GGA-PBEsol.

Cell: 6.677 4.207 7.231 Å, 90.00 90.00 90.00°
Space group Pnma (No. 62)
Symmetry-distinct sites (fractional):
Ho 0.021 0.250 0.192 [4 per cell]
Ga 0.169 0.250 0.575 [4 per cell]
Ni 0.215 0.750 0.400 [4 per cell]

## Properties
As for the formation energy: -2.060 eV/f.u. The value obtained for the magnetic moment is 0.0 μB per formula unit. The value obtained for the total energy is -5.502 eV/atom.

***

This record from Alexandria via LeMat-Bulk describes crystalline Ho4Ga21Ni10 at its relaxed geometry. The functional is GGA-PBEsol.

Cell: 20.560 4.021 15.204 Å, 90.00 124.75 90.00°
Space group C2/m (No. 12)
Symmetry-distinct sites (fractional):
Ho 0.120 0.000 0.333 [4 per cell]
Ho 0.229 0.000 0.824 [4 per cell]
Ga 0.000 0.500 0.500 [2 per cell]
Ga 0.007 0.000 0.091 [4 per cell]
Ga 0.040 0.500 0.368 [4 per cell]
Ga 0.065 0.000 0.796 [4 per cell]
Ga 0.101 0.500 0.998 [4 per cell]
Ga 0.114 0.500 0.704 [4 per cell]
Ga 0.117 0.000 0.553 [4 per cell]
Ga 0.127 0.500 0.195 [4 per cell]
Ga 0.201 0.000 0.003 [4 per cell]
Ga 0.202 0.500 0.503 [4 per cell]
Ga 0.248 0.000 0.294 [4 per cell]
Ni 0.002 0.500 0.185 [4 per cell]
Ni 0.024 0.000 0.607 [4 per cell]
Ni 0.133 0.000 0.104 [4 per cell]
Ni 0.153 0.500 0.888 [4 per cell]
Ni 0.250 0.000 0.615 [4 per cell]

## Properties
As for the formation energy: -19.973 eV/f.u. The value obtained for the magnetic moment is 0.0 μB per formula unit. The value obtained for the total energy is -4.900 eV/atom.

***

This record from Alexandria via LeMat-Bulk describes crystalline Ho3Ga2Ni6 at its relaxed geometry. The functional is GGA-PBEsol.

Cell: 8.719 8.719 8.719 Å, 90.00 90.00 90.00°
Space group Im-3m (No. 229)
Symmetry-distinct sites (fractional):
Ho 0.000 0.000 0.290 [12 per cell]
Ga 0.250 0.250 0.250 [8 per cell]
Ni 0.000 0.339 0.339 [24 per cell]

## Properties
As for the formation energy: -6.541 eV/f.u. The value obtained for the magnetic moment is 0.0 μB per formula unit. The value obtained for the total energy is -5.911 eV/atom.

***

This record from Alexandria via LeMat-Bulk describes crystalline Ho2Ga3Ni at its relaxed geometry. The functional is GGA-PBEsol.

Cell: 9.995 4.279 6.937 Å, 90.00 132.69 90.00°
Space group Cm (No. 8)
Symmetry-distinct sites (fractional):
Ho 0.000 0.000 0.000 [2 per cell]
Ho 0.087 0.000 0.589 [2 per cell]
Ga 0.210 0.500 0.390 [2 per cell]
Ga 0.371 0.000 0.175 [2 per cell]
Ga 0.398 0.000 0.612 [2 per cell]
Ni 0.215 0.500 0.017 [2 per cell]

## Properties
As for the formation energy: -4.147 eV/f.u. The value obtained for the magnetic moment is 0.0 μB per formula unit. The value obtained for the total energy is -5.037 eV/atom.

***

This record from Alexandria via LeMat-Bulk describes crystalline Ho6GaNi2 at its relaxed geometry. The functional is GGA-PBEsol.

Cell: 9.001 9.358 9.773 Å, 90.00 90.00 90.00°
Space group Immm (No. 71)
Symmetry-distinct sites (fractional):
Ho 0.000 0.196 0.236 [8 per cell]
Ho 0.194 0.500 0.174 [8 per cell]
Ho 0.214 0.319 0.500 [8 per cell]
Ga 0.000 0.000 0.000 [2 per cell]
Ga 0.000 0.000 0.500 [2 per cell]
Ni 0.000 0.349 0.000 [4 per cell]
Ni 0.000 0.500 0.377 [4 per cell]

## Properties
As for the formation energy: -3.405 eV/f.u. The value obtained for the magnetic moment is 0.0 μB per formula unit. The value obtained for the total energy is -5.418 eV/atom.

***

This record from Alexandria via LeMat-Bulk describes crystalline HoGa4Ni at its relaxed geometry. The functional is GGA-PBEsol.

Cell: 4.037 15.010 6.459 Å, 90.00 90.00 90.00°
Space group Cmcm (No. 63)
Symmetry-distinct sites (fractional):
Ho 0.000 0.120 0.250 [4 per cell]
Ga 0.000 0.070 0.750 [4 per cell]
Ga 0.000 0.315 0.051 [8 per cell]
Ga 0.000 0.500 0.000 [4 per cell]
Ni 0.000 0.224 0.750 [4 per cell]

## Properties
As for the formation energy: -3.517 eV/f.u. The value obtained for the magnetic moment is 0.0 μB per formula unit. The value obtained for the total energy is -4.664 eV/atom.

***

This record from Alexandria via LeMat-Bulk describes crystalline Ho2GaNi2 at its relaxed geometry. The functional is GGA-PBEsol.

Cell: 4.134 5.240 8.037 Å, 90.00 90.00 90.00°
Space group Immm (No. 71)
Symmetry-distinct sites (fractional):
Ho 0.000 0.000 0.202 [4 per cell]
Ga 0.000 0.500 0.000 [2 per cell]
Ni 0.000 0.267 0.500 [4 per cell]

## Properties
As for the formation energy: -3.037 eV/f.u. The value obtained for the magnetic moment is 0.0 μB per formula unit. The value obtained for the total energy is -5.718 eV/atom.